[1]
{
  "formula": "BaCaPr",
  "functional": "PBE",
  "state": "optimized geometry",
  "lattice_angstrom": [[-1.595, 0.649, 3.613], [2.878, -2.224, 1.670], [9.806, 14.044, 1.806]],
  "species": ["Pr", "Ba", "Ca", "Pr", "Ca", "Ba"],
  "frac_coords": [[0.000, 0.500, 0.935], [0.000, 0.500, 0.602], [0.000, 0.500, 0.215], [0.500, 0.000, 0.065], [0.500, 0.000, 0.785], [0.500, 0.000, 0.398]],
  "delta_e_f_ev_per_atom": 0.06,
  "dft_energy_ev_per_atom": -2.85,
  "crystal_system": "tetragonal",
  "polymorph_energy_ev_per_atom": 0.0248,
  "sg": "P4/nmm",
  "m_tot_mub_per_fu": 0.00
}

***

[2]
{
  "formula": "Li3As2",
  "functional": "PBE",
  "state": "optimized geometry",
  "lattice_angstrom": [[-0.578, 1.144, 7.385], [-1.399, -5.761, 4.587], [3.006, -2.128, 4.369]],
  "species": ["As", "Li", "Li", "As", "Li", "As", "As", "Li", "Li", "Li"],
  "frac_coords": [[0.139, 0.139, 0.584], [0.433, 0.067, 0.750], [0.750, 0.433, 0.750], [0.861, 0.861, 0.416], [0.567, 0.933, 0.250], [0.361, 0.361, 0.916], [0.639, 0.639, 0.084], [0.933, 0.250, 0.250], [0.067, 0.750, 0.750], [0.250, 0.567, 0.250]],
  "delta_e_f_ev_per_atom": -0.50,
  "dft_energy_ev_per_atom": -3.51,
  "crystal_system": "trigonal",
  "polymorph_energy_ev_per_atom": 0.0000,
  "sg": "R-3c",
  "m_tot_mub_per_fu": 0.00
}

***

[3]
{
  "formula": "Sc2InMo2",
  "functional": "PBE",
  "state": "optimized geometry",
  "lattice_angstrom": [[-1.472, -5.098, -4.801], [4.327, -4.520, 3.473], [-3.096, -1.231, 2.256]],
  "species": ["Sc", "Mo", "Sc", "In", "In", "Mo", "Mo", "Mo", "Sc", "Sc"],
  "frac_coords": [[0.673, 0.827, 0.500], [0.385, 0.885, 0.000], [0.827, 0.327, 0.500], [0.000, 0.000, 0.000], [0.500, 0.500, 0.000], [0.885, 0.615, 0.000], [0.115, 0.385, 0.000], [0.615, 0.115, 0.000], [0.327, 0.173, 0.500], [0.173, 0.673, 0.500]],
  "delta_e_f_ev_per_atom": 0.06,
  "dft_energy_ev_per_atom": -7.35,
  "crystal_system": "tetragonal",
  "sg": "P4/mbm",
  "m_tot_mub_per_fu": 0.00
}

***

[4]
{
  "formula": "KCoH2",
  "functional": "PBE",
  "state": "optimized geometry",
  "lattice_angstrom": [[0.000, 3.034, 3.034], [3.034, 0.000, 3.034], [3.034, 3.034, 0.000]],
  "species": ["H", "K", "H", "Co"],
  "frac_coords": [[0.250, 0.250, 0.250], [0.000, 0.000, 0.000], [0.750, 0.750, 0.750], [0.500, 0.500, 0.500]],
  "dft_energy_ev_per_atom": -2.68,
  "crystal_system": "cubic",
  "polymorph_energy_ev_per_atom": 0.8602,
  "sg": "Fm-3m",
  "m_tot_mub_per_fu": 2.51
}